VASP calculation (GGA-PBE) on a relaxed structure of ReMoP2.

a b c (Å): 2.992 3.639 5.299
angles (deg): 90.00 90.00 90.00
Space group Pmmm (No. 47)
One atom of each set of equivalent atoms:
Re 0.000 0.000 0.000 x1
Mo 0.500 0.000 0.500 x1
P 0.000 0.500 0.281 x2

Properties
Energy of formation ... 71 meV per atom
Crystal system ... orthorhombic
VASP energy ... -8.45 eV/atom
Fermi-level density of states ... 2.86 states/eV/cell



VASP calculation (GGA-PBE) on a relaxed structure of ReMoP2.

a b c (Å): 8.411 3.061 4.451
angles (deg): 90.00 106.11 90.00
Space group Cm (No. 8)
One atom of each set of equivalent atoms:
Re 0.000 0.000 0.000 x2
Mo 0.236 0.000 0.600 x2
P 0.238 0.500 0.132 x2
P 0.496 0.000 0.458 x2

Properties
Energy of formation ... -299 meV per atom
Crystal system ... monoclinic
VASP energy ... -8.82 eV/atom
Fermi-level density of states ... 3.99 states/eV/cell



VASP calculation (GGA-PBE) on a relaxed structure of ReMoP.

a b c (Å): 2.930 2.930 9.753
angles (deg): 90.00 90.00 90.00
Space group I4mm (No. 107)
One atom of each set of equivalent atoms:
Re 0.000 0.000 0.000 x2
Mo 0.000 0.000 0.303 x2
P 0.000 0.000 0.640 x2

Properties
Energy of formation ... -199 meV per atom
Crystal system ... tetragonal
VASP energy ... -9.76 eV/atom
Fermi-level density of states ... 2.91 states/eV/cell